# Li2Pa2MoN6

Li2Pa2MoN6 after structural relaxation (GGA-PBE, Alexandria via LeMat-Bulk).

* formation energy from raw total energies: -0.92 eV/atom

a = 5.8757 Å, b = 10.1026 Å, c = 5.2601 Å
α = 90.00°, β = 105.05°, γ = 90.00°
Space group C2/m (No. 12)
One atom of each set of equivalent atoms:
Li1 0.0000 0.1308 0.0000 (multiplicity 4)
Pa1 0.0000 0.3356 0.5000 (multiplicity 4)
Mo1 0.0000 0.0000 0.5000 (multiplicity 2)
N1 0.2000 0.1594 0.7003 (multiplicity 8)
N2 0.2433 0.0000 0.2885 (multiplicity 4)

# SrScOs2

SrScOs2 after structural relaxation (GGA-PBE, Alexandria via LeMat-Bulk).

* formation enthalpy at 0 K: 0.52 eV/atom

a = 3.2720 Å, b = 4.9198 Å, c = 9.2481 Å
α = 90.00°, β = 90.00°, γ = 90.00°
Space group Cmmm (No. 65)
One atom of each set of equivalent atoms:
Sr1 0.0000 0.0000 0.0000 (multiplicity 2)
Sc1 0.0000 0.0000 0.5000 (multiplicity 2)
Os1 0.0000 0.5000 0.2731 (multiplicity 4)

# ZrB2Mo

ZrB2Mo after structural relaxation (GGA-PBE, Alexandria via LeMat-Bulk).

* polymorph energy (0 for the lowest one): 223 meV/atom
* formation enthalpy at 0 K: -0.45 eV/atom

a = 3.2833 Å, b = 3.2833 Å, c = 16.2598 Å
α = 90.00°, β = 90.00°, γ = 120.00°
Space group R-3m (No. 166, hexagonal axes)
One atom of each set of equivalent atoms:
Zr1 0.0000 0.0000 0.0000 (multiplicity 3)
B1 0.0000 0.0000 0.2417 (multiplicity 6)
Mo1 0.0000 0.0000 0.5000 (multiplicity 3)

Number 1: total DFT energy (no corrections) -187.36 eV/cell. Number 2: total DFT energy (no corrections) -56.80 eV/cell. Number 3: total DFT energy (no corrections) -103.64 eV/cell.